Compound: Si2BrCl
Source: Alexandria
Functional: PBE-GGA
Structure: optimized geometry

It has space group Cmmm (No. 65), with a = 6.427 Å, b = 7.874 Å, c = 3.293 Å, α = 90.00°, β = 90.00° and γ = 90.00°. The inequivalent atoms are Si at (0.250, 0.250, 0.000), Br at (0.000, 0.000, 0.500) and Cl at (0.000, 0.500, 0.500).

For the formation energy (no corrections), the calculation gives 0.62 eV/atom. For the volume, the calculation gives 83.3 Å³/f.u. As for the energy above the most stable polymorph in this dataset: 984 meV/atom.